B2C3: optimized geometry, PBE.

Values from the calculation:
Its symmetry is I4_1/amd. For the energy of formation, the calculation gives 1.69 eV/f.u. As for the total magnetization: 0.0 μB per cell. As for the total energy: -7.87 eV/atom. Its energy relative to the lowest polymorph listed for this composition is 102 meV/atom.

a = 10.629 Å, b = 10.629 Å, c = 10.629 Å
α = 166.58°, β = 166.58°, γ = 19.02°
Atoms (fractional coordinates):
B 0.407 0.407 0.000
C 0.000 0.000 0.000
C 0.793 0.793 0.000
B 0.343 0.843 0.500
C 0.543 0.043 0.500
B 0.593 0.593 0.000
C 0.957 0.457 0.500
C 0.207 0.207 0.000
C 0.750 0.250 0.500
B 0.157 0.657 0.500